This record from Alexandria via LeMat-Bulk describes a geometry-optimized ZnPd3O structure. The functional is PBE-GGA.

* ρ: 9.0 Mg/m³
* energy above the most stable polymorph in this dataset: 0 meV/atom
* total moment: 0.00 μB per formula unit
* space-group type: Pm-3m, No. 221
* raw total energy: -0.3256 Ry per atom
* D(E_F): 1.306 states/eV/f.u.

The structure in POSCAR format:
```
ZnPd3O
1.0
4.199 0.000 0.000
0.000 4.199 0.000
0.000 0.000 4.199
Zn Pd O
1 3 1
Direct
0.000 0.000 0.000 Zn
0.000 0.500 0.500 Pd
0.500 0.000 0.500 Pd
0.500 0.500 0.000 Pd
0.500 0.500 0.500 O
```